Entry 1:
VASP calculation (PBE-GGA) on a geometry-optimized YHf3Pb2C2 structure.

abc: 3.4252 3.4252 15.0937
angles: 90.00 90.00 120.00
Fractional coordinates of all 8 atoms:
1 C 0.3333 0.6667 0.0154
2 C 0.3333 0.6667 0.4955
3 Hf 0.6667 0.3333 0.0879
4 Hf 0.6667 0.3333 0.4173
5 Hf 0.0000 0.0000 0.5739
6 Pb 0.0000 0.0000 0.2529
7 Pb 0.6667 0.3333 0.7393
8 Y 0.0000 0.0000 0.9178

## Properties
Total energy in eV/atom: -8.38
Calculated volume in Å³ per atom: 19.2
Spin magnetization in μB/atom: 0.001

Entry 2:
VASP calculation (PBE-GGA) on a geometry-optimized Hf4ZnPbC2 structure.

abc: 3.3241 3.3241 14.4710
angles: 90.00 90.00 120.00
Fractional coordinates of all 8 atoms:
1 C 0.3333 0.6667 0.2568
2 C 0.3333 0.6667 0.7432
3 Hf 0.0000 0.0000 0.1731
4 Hf 0.6667 0.3333 0.3427
5 Hf 0.6667 0.3333 0.6573
6 Hf 0.0000 0.0000 0.8269
7 Pb 0.6667 0.3333 0.0000
8 Zn 0.0000 0.0000 0.5000

## Properties
Total energy in eV/atom: -8.50
Calculated volume in Å³ per atom: 17.3
Spin magnetization in μB/atom: 0.000

Entry 3:
VASP calculation (PBE-GGA) on a geometry-optimized HfZrPbC structure.

abc: 3.3934 3.3934 14.8421
angles: 90.00 90.00 120.00
Fractional coordinates of all 8 atoms:
1 C 0.0000 0.0000 0.2549
2 C 0.0000 0.0000 0.7451
3 Hf 0.6667 0.3333 0.3326
4 Hf 0.6667 0.3333 0.6674
5 Pb 0.6667 0.3333 0.0000
6 Pb 0.3333 0.6667 0.5000
7 Zr 0.3333 0.6667 0.1691
8 Zr 0.3333 0.6667 0.8309

## Properties
Total energy in eV/atom: -8.51
Calculated volume in Å³ per atom: 18.5
Spin magnetization in μB/atom: 0.001

Entry 4:
VASP calculation (PBE-GGA) on a geometry-optimized HfPdC2 structure.

abc: 3.2373 3.2373 4.5428
angles: 90.00 90.00 90.00
Fractional coordinates of all 4 atoms:
1 C 0.5000 0.5000 0.0000
2 C 0.0000 0.0000 0.5000
3 Hf 0.0000 0.0000 0.0000
4 Pd 0.5000 0.5000 0.5000

## Properties
Total energy in eV/atom: -8.07
Calculated volume in Å³ per atom: 11.9
Spin magnetization in μB/atom: 0.000

Entry 5:
VASP calculation (PBE-GGA) on a geometry-optimized PmHf2C3 structure.

abc: 3.3935 3.3935 8.5088
angles: 90.00 90.00 120.00
Fractional coordinates of all 6 atoms:
1 C 0.0000 0.0000 0.0000
2 C 0.3333 0.6667 0.3024
3 C 0.6667 0.3333 0.6976
4 Hf 0.6667 0.3333 0.1571
5 Hf 0.3333 0.6667 0.8429
6 Pm 0.0000 0.0000 0.5000

## Properties
Total energy in eV/atom: -9.21
Calculated volume in Å³ per atom: 14.1
Spin magnetization in μB/atom: 0.002

Entry 6:
VASP calculation (PBE-GGA) on a geometry-optimized Pm2HfC3 structure.

abc: 3.5411 3.5411 8.8837
angles: 90.00 90.00 120.00
Fractional coordinates of all 6 atoms:
1 C 0.0000 0.0000 0.0000
2 C 0.3333 0.6667 0.3642
3 C 0.6667 0.3333 0.6358
4 Hf 0.0000 0.0000 0.5000
5 Pm 0.6667 0.3333 0.1767
6 Pm 0.3333 0.6667 0.8233

## Properties
Total energy in eV/atom: -7.93
Calculated volume in Å³ per atom: 16.1
Spin magnetization in μB/atom: 0.002

Entry 7:
VASP calculation (PBE-GGA) on a geometry-optimized PrHfC2 structure.

abc: 3.5276 3.5276 4.9874
angles: 90.00 90.00 90.00
Fractional coordinates of all 4 atoms:
1 C 0.5000 0.5000 0.0000
2 C 0.0000 0.0000 0.5000
3 Hf 0.0000 0.0000 0.0000
4 Pr 0.5000 0.5000 0.5000

## Properties
Total energy in eV/atom: -8.31
Calculated volume in Å³ per atom: 15.5
Spin magnetization in μB/atom: 0.000

Entry 8:
VASP calculation (PBE-GGA) on a geometry-optimized Hf3PtC structure.

abc: 6.0381 6.0381 8.8770
angles: 90.00 90.00 148.03
Fractional coordinates of all 10 atoms:
1 C 0.0000 0.0000 0.0000
2 C 0.0000 0.0000 0.5000
3 Hf 0.6281 0.3719 0.0571
4 Hf 0.9448 0.0552 0.2500
5 Hf 0.6281 0.3719 0.4429
6 Hf 0.3719 0.6281 0.5571
7 Hf 0.0552 0.9448 0.7500
8 Hf 0.3719 0.6281 0.9429
9 Pt 0.2531 0.7469 0.2500
10 Pt 0.7469 0.2531 0.7500

## Properties
Total energy in eV/atom: -9.94
Calculated volume in Å³ per atom: 17.1
Spin magnetization in μB/atom: 0.000

Entry 9:
VASP calculation (PBE-GGA) on a geometry-optimized Pu2HfC3 structure.

abc: 3.4158 3.4158 8.5660
angles: 90.00 90.00 120.00
Last column: magnetic moment on the atom in μB.
Fractional coordinates of all 6 atoms:
1 C 0.3333 0.6667 0.1562  -0.15
2 C 0.0000 0.0000 0.5000  -0.26
3 C 0.6667 0.3333 0.8438  -0.15
4 Hf 0.0000 0.0000 0.0000  -0.02
5 Pu 0.6667 0.3333 0.3266  4.19
6 Pu 0.3333 0.6667 0.6734  4.19

## Properties
Total energy in eV/atom: -11.25
Calculated volume in Å³ per atom: 14.4
Spin magnetization in μB/atom: 1.313

Entry 10:
VASP calculation (PBE-GGA) on a geometry-optimized Hf4C3S structure.

abc: 3.3414 3.3414 22.7552
angles: 90.00 90.00 120.00
Fractional coordinates of all 16 atoms:
1 C 0.0000 0.0000 0.0000
2 C 0.6667 0.3333 0.1189
3 C 0.6667 0.3333 0.3811
4 C 0.0000 0.0000 0.5000
5 C 0.3333 0.6667 0.6189
6 C 0.3333 0.6667 0.8811
7 Hf 0.3333 0.6667 0.0562
8 Hf 0.0000 0.0000 0.1687
9 Hf 0.0000 0.0000 0.3313
10 Hf 0.3333 0.6667 0.4438
11 Hf 0.6667 0.3333 0.5562
12 Hf 0.0000 0.0000 0.6687
13 Hf 0.0000 0.0000 0.8313
14 Hf 0.6667 0.3333 0.9438
15 S 0.3333 0.6667 0.2500
16 S 0.6667 0.3333 0.7500

## Properties
Total energy in eV/atom: -10.09
Calculated volume in Å³ per atom: 13.8
Spin magnetization in μB/atom: 0.000

Entry 11:
VASP calculation (PBE-GGA) on a geometry-optimized HfCS2 structure.

abc: 3.3234 3.3234 12.3603
angles: 90.00 90.00 120.00
Fractional coordinates of all 8 atoms:
1 C 0.0000 0.0000 0.0000
2 C 0.0000 0.0000 0.5000
3 Hf 0.6667 0.3333 0.2500
4 Hf 0.3333 0.6667 0.7500
5 S 0.3333 0.6667 0.1073
6 S 0.3333 0.6667 0.3927
7 S 0.6667 0.3333 0.6073
8 S 0.6667 0.3333 0.8927

## Properties
Total energy in eV/atom: -6.28
Calculated volume in Å³ per atom: 14.8
Spin magnetization in μB/atom: 0.001

Entry 12:
VASP calculation (PBE-GGA) on a geometry-optimized Hf4SbC2S structure.

abc: 3.3911 3.3911 12.9924
angles: 90.00 90.00 120.00
Fractional coordinates of all 8 atoms:
1 C 0.3333 0.6667 0.2317
2 C 0.3333 0.6667 0.7683
3 Hf 0.0000 0.0000 0.1389
4 Hf 0.6667 0.3333 0.3244
5 Hf 0.6667 0.3333 0.6756
6 Hf 0.0000 0.0000 0.8611
7 S 0.6667 0.3333 0.0000
8 Sb 0.0000 0.0000 0.5000

## Properties
Total energy in eV/atom: -9.36
Calculated volume in Å³ per atom: 16.2
Spin magnetization in μB/atom: 0.002

Entry 13:
VASP calculation (PBE-GGA) on a geometry-optimized HfScCS structure.

abc: 3.4078 3.4078 12.0177
angles: 90.00 90.00 120.00
Fractional coordinates of all 8 atoms:
1 C 0.0000 0.0000 0.4965
2 C 0.0000 0.0000 0.9965
3 Hf 0.6667 0.3333 0.3993
4 Hf 0.3333 0.6667 0.8993
5 S 0.3333 0.6667 0.2521
6 S 0.6667 0.3333 0.7521
7 Sc 0.6667 0.3333 0.1020
8 Sc 0.3333 0.6667 0.6020

## Properties
Energy relative to the lowest polymorph listed for this composition in meV per atom: 0.0
Calculated volume in Å³ per atom: 15.1
Spin magnetization in μB/atom: 0.000

Entry 14:
VASP calculation (PBE-GGA) on a geometry-optimized Hf4Sc2C3S3 structure.

abc: 5.8817 5.8817 12.5081
angles: 103.62 103.62 60.00
Fractional coordinates of all 24 atoms:
1 C 0.5000 0.0000 0.0000
2 C 0.8401 0.3300 0.0000
3 C 0.1599 0.6700 0.0000
4 C 0.3300 0.8401 0.5000
5 C 0.0000 0.5000 0.5000
6 C 0.6700 0.1599 0.5000
7 Hf 0.2038 0.0290 0.0997
8 Hf 0.8627 0.6999 0.0997
9 Hf 0.3001 0.1373 0.4003
10 Hf 0.9710 0.7962 0.4003
11 Hf 0.0290 0.2038 0.5997
12 Hf 0.6999 0.8627 0.5997
13 Hf 0.1373 0.3001 0.9003
14 Hf 0.7962 0.9710 0.9003
15 S 0.2491 0.4161 0.2497
16 S 0.9183 0.0817 0.2500
17 S 0.5839 0.7509 0.2503
18 S 0.4161 0.2491 0.7497
19 S 0.0817 0.9183 0.7500
20 S 0.7509 0.5839 0.7503
21 Sc 0.5348 0.3713 0.1031
22 Sc 0.6287 0.4652 0.3969
23 Sc 0.3713 0.5348 0.6031
24 Sc 0.4652 0.6287 0.8969

## Properties
Total energy in eV/atom: -9.07
Calculated volume in Å³ per atom: 15.0
Spin magnetization in μB/atom: 0.000

Entry 15:
VASP calculation (PBE-GGA) on a geometry-optimized HfScCS structure.

abc: 3.4054 3.4054 12.0152
angles: 90.00 90.00 120.00
Fractional coordinates of all 8 atoms:
1 C 0.0000 0.0000 0.2540
2 C 0.0000 0.0000 0.7460
3 Hf 0.3333 0.6667 0.3490
4 Hf 0.3333 0.6667 0.6510
5 S 0.3333 0.6667 0.0000
6 S 0.6667 0.3333 0.5000
7 Sc 0.6667 0.3333 0.1453
8 Sc 0.6667 0.3333 0.8547

## Properties
Energy relative to the lowest polymorph listed for this composition in meV per atom: 16.8
Calculated volume in Å³ per atom: 15.1
Spin magnetization in μB/atom: 0.000

Entry 16:
VASP calculation (PBE-GGA) on a geometry-optimized HfScCS structure.

abc: 3.4134 3.4134 12.0184
angles: 90.00 90.00 120.00
Fractional coordinates of all 8 atoms:
1 C 0.0000 0.0000 0.0000
2 C 0.0000 0.0000 0.5000
3 Hf 0.6667 0.3333 0.1003
4 Hf 0.3333 0.6667 0.8997
5 S 0.3333 0.6667 0.2466
6 S 0.6667 0.3333 0.7534
7 Sc 0.6667 0.3333 0.3992
8 Sc 0.3333 0.6667 0.6008

## Properties
Energy relative to the lowest polymorph listed for this composition in meV per atom: 13.9
Calculated volume in Å³ per atom: 15.2
Spin magnetization in μB/atom: 0.002

Entry 17:
VASP calculation (PBE-GGA) on a geometry-optimized Hf4C2SeS structure.

abc: 3.4028 3.4028 12.2803
angles: 90.00 90.00 120.00
Fractional coordinates of all 8 atoms:
1 C 0.3333 0.6667 0.2445
2 C 0.3333 0.6667 0.7555
3 Hf 0.6667 0.3333 0.1470
4 Hf 0.0000 0.0000 0.3414
5 Hf 0.0000 0.0000 0.6586
6 Hf 0.6667 0.3333 0.8530
7 S 0.0000 0.0000 0.0000
8 Se 0.6667 0.3333 0.5000

## Properties
Total energy in eV/atom: -9.49
Calculated volume in Å³ per atom: 15.4
Spin magnetization in μB/atom: 0.000

Entry 18:
VASP calculation (PBE-GGA) on a geometry-optimized Hf4SnC2S structure.

abc: 3.3541 3.3541 13.3003
angles: 90.00 90.00 120.00
Fractional coordinates of all 8 atoms:
1 C 0.3333 0.6667 0.2282
2 C 0.3333 0.6667 0.7718
3 Hf 0.6667 0.3333 0.1355
4 Hf 0.0000 0.0000 0.3193
5 Hf 0.0000 0.0000 0.6807
6 Hf 0.6667 0.3333 0.8645
7 S 0.0000 0.0000 0.0000
8 Sn 0.6667 0.3333 0.5000

## Properties
Total energy in eV/atom: -9.36
Calculated volume in Å³ per atom: 16.2
Spin magnetization in μB/atom: 0.000

Entry 19:
VASP calculation (PBE-GGA) on a geometry-optimized Hf2Ta4C3S3 structure.

abc: 5.7655 5.7655 12.1843
angles: 103.62 103.62 60.05
Fractional coordinates of all 24 atoms:
1 C 0.6663 0.1680 0.0000
2 C 0.0000 0.5000 0.0000
3 C 0.3337 0.8320 0.0000
4 C 0.1680 0.6663 0.5000
5 C 0.5000 0.0000 0.5000
6 C 0.8320 0.3337 0.5000
7 Hf 0.3682 0.5340 0.1028
8 Hf 0.4660 0.6318 0.3972
9 Hf 0.5340 0.3682 0.6028
10 Hf 0.6318 0.4660 0.8972
11 S 0.4165 0.2388 0.2500
12 S 0.0719 0.9281 0.2500
13 S 0.7612 0.5835 0.2500
14 S 0.2388 0.4165 0.7500
15 S 0.9281 0.0719 0.7500
16 S 0.5835 0.7612 0.7500
17 Ta 0.6977 0.8637 0.0925
18 Ta 0.0307 0.1977 0.0927
19 Ta 0.8023 0.9693 0.4073
20 Ta 0.1363 0.3023 0.4075
21 Ta 0.8637 0.6977 0.5925
22 Ta 0.1977 0.0307 0.5927
23 Ta 0.9693 0.8023 0.9073
24 Ta 0.3023 0.1363 0.9075

## Properties
Total energy in eV/atom: -9.88
Calculated volume in Å³ per atom: 14.1
Spin magnetization in μB/atom: 0.000

Entry 20:
VASP calculation (PBE-GGA) on a geometry-optimized Hf4Ta2C3S3 structure.

abc: 5.7947 5.7947 12.3588
angles: 103.50 103.50 60.06
Fractional coordinates of all 24 atoms:
1 C 0.6662 0.1678 0.0000
2 C 0.0000 0.5000 0.0000
3 C 0.3338 0.8322 0.0000
4 C 0.1678 0.6662 0.5000
5 C 0.5000 0.0000 0.5000
6 C 0.8322 0.3338 0.5000
7 Hf 0.0357 0.1984 0.1014
8 Hf 0.7007 0.8687 0.1014
9 Hf 0.1313 0.2993 0.3986
10 Hf 0.8016 0.9643 0.3986
11 Hf 0.1984 0.0357 0.6014
12 Hf 0.8687 0.7008 0.6014
13 Hf 0.2992 0.1313 0.8986
14 Hf 0.9643 0.8016 0.8986
15 S 0.7400 0.5831 0.2497
16 S 0.0947 0.9053 0.2500
17 S 0.4169 0.2600 0.2503
18 S 0.5831 0.7400 0.7497
19 S 0.9053 0.0947 0.7500
20 S 0.2600 0.4169 0.7503
21 Ta 0.3610 0.5305 0.0918
22 Ta 0.4695 0.6390 0.4082
23 Ta 0.5305 0.3610 0.5918
24 Ta 0.6390 0.4695 0.9082

## Properties
Total energy in eV/atom: -9.77
Calculated volume in Å³ per atom: 14.4
Spin magnetization in μB/atom: 0.000

Entry 21:
VASP calculation (PBE-GGA) on a geometry-optimized TbHfCS structure.

abc: 3.5221 3.5221 12.6014
angles: 90.00 90.00 120.00
Fractional coordinates of all 8 atoms:
1 C 0.0000 0.0000 0.2270
2 C 0.0000 0.0000 0.7730
3 Hf 0.3333 0.6667 0.1419
4 Hf 0.3333 0.6667 0.8581
5 S 0.6667 0.3333 0.0000
6 S 0.3333 0.6667 0.5000
7 Tb 0.6667 0.3333 0.3476
8 Tb 0.6667 0.3333 0.6524

## Properties
Energy relative to the lowest polymorph listed for this composition in meV per atom: 19.5
Calculated volume in Å³ per atom: 16.9
Spin magnetization in μB/atom: 0.000

Entry 22:
VASP calculation (PBE-GGA) on a geometry-optimized TbHfCS structure.

abc: 3.5320 3.5320 12.6074
angles: 90.00 90.00 120.00
Fractional coordinates of all 8 atoms:
1 C 0.0000 0.0000 0.0000
2 C 0.0000 0.0000 0.5000
3 Hf 0.6667 0.3333 0.0937
4 Hf 0.3333 0.6667 0.9063
5 S 0.3333 0.6667 0.2296
6 S 0.6667 0.3333 0.7704
7 Tb 0.6667 0.3333 0.3910
8 Tb 0.3333 0.6667 0.6090

## Properties
Energy relative to the lowest polymorph listed for this composition in meV per atom: 44.7
Calculated volume in Å³ per atom: 17.0
Spin magnetization in μB/atom: 0.002